Model A:
# Pm8Pr4Sm3 | Alexandria | GGA-PBE | relaxed
# Fermi-level density of states   24.6 states/eV/f.u.
# V   35.37 Å³ per atom
# Total magnetic moment   0.00 μB per cell
data_Pm8Pr4Sm3
_symmetry_space_group_name_H-M 'R -3 m'
_symmetry_Int_Tables_number 166
_symmetry_space_group_name_Hall '-R 3 2"'
_cell_length_a 7.1040
_cell_length_b 7.1040
_cell_length_c 36.4219
_cell_angle_alpha 90.00
_cell_angle_beta 90.00
_cell_angle_gamma 120.00
loop_
_atom_site_label
_atom_site_type_symbol
_atom_site_fract_x
_atom_site_fract_y
_atom_site_fract_z
Pm1 Pm 0.0000 0.0000 0.2460
Pm2 Pm 0.0018 0.5009 0.7508
Pr1 Pr 0.0000 0.0000 0.0000
Pr2 Pr 0.0000 0.0000 0.3362
Pr3 Pr 0.0000 0.0000 0.5000
Sm1 Sm 0.0000 0.5000 0.5000

---

Model B:
# Pm8Pr4Sm3 | Alexandria | GGA-PBE | relaxed
# Fermi-level density of states   27.0 states/eV/f.u.
# V   35.64 Å³ per atom
# Total magnetic moment   0.00 μB per cell
data_Pm8Pr4Sm3
_symmetry_space_group_name_H-M 'C 1 2/m 1'
_symmetry_Int_Tables_number 12
_cell_length_a 13.802
_cell_length_b 12.937
_cell_length_c 6.906
_cell_angle_alpha 90.00
_cell_angle_beta 119.89
_cell_angle_gamma 90.00
loop_
_symmetry_equiv_pos_as_xyz
'x,y,z'
'-x,-y,-z'
'-x,y,-z'
'x,-y,z'
'x+1/2,y+1/2,z'
'-x+1/2,-y+1/2,-z'
'-x+1/2,y+1/2,-z'
'x+1/2,-y+1/2,z'
loop_
_atom_site_label
_atom_site_type_symbol
_atom_site_fract_x
_atom_site_fract_y
_atom_site_fract_z
Pm1 Pm 0.000 0.147 0.000
Pm2 Pm 0.000 0.245 0.500
Pm3 Pm 0.224 0.000 0.416
Pm4 Pm 0.245 0.000 0.961
Pr1 Pr 0.000 0.500 0.000
Pr2 Pr 0.000 0.500 0.500
Pr3 Pr 0.250 0.250 0.500
Sm1 Sm 0.000 0.000 0.500
Sm2 Sm 0.250 0.250 0.000

---

Which of them is most stable? Easy: model A.

---

Model A:
# Pm12Pr7Sm | Alexandria | GGA-PBE | relaxed
# Fermi-level density of states   30.8 states/eV/f.u.
# V   39.35 Å³ per atom
# Total magnetic moment   0.00 μB per cell
data_Pm12Pr7Sm
_symmetry_space_group_name_H-M 'I m -3'
_symmetry_Int_Tables_number 204
_symmetry_space_group_name_Hall '-I 2 2 3'
_cell_length_a 11.632
_cell_length_b 11.632
_cell_length_c 11.632
_cell_angle_alpha 90.00
_cell_angle_beta 90.00
_cell_angle_gamma 90.00
loop_
_atom_site_label
_atom_site_type_symbol
_atom_site_fract_x
_atom_site_fract_y
_atom_site_fract_z
Pm1 Pm 0.000 0.249 0.248
Pr1 Pr 0.000 0.000 0.500
Pr2 Pr 0.250 0.250 0.250
Sm1 Sm 0.000 0.000 0.000

---

Model B:
# Pm12Pr7Sm | Alexandria | GGA-PBE | relaxed
# Fermi-level density of states   39.3 states/eV/f.u.
# V   35.67 Å³ per atom
# Total magnetic moment   0.00 μB per cell
data_Pm12Pr7Sm
_symmetry_space_group_name_H-M 'R -3'
_symmetry_Int_Tables_number 148
_symmetry_space_group_name_Hall '-R 3'
_cell_length_a 12.3438
_cell_length_b 12.3438
_cell_length_c 16.2185
_cell_angle_alpha 90.00
_cell_angle_beta 90.00
_cell_angle_gamma 120.00
loop_
_atom_site_label
_atom_site_type_symbol
_atom_site_fract_x
_atom_site_fract_y
_atom_site_fract_z
Pm1 Pm 0.0228 0.4462 0.2223
Pm2 Pm 0.0534 0.5888 0.5815
Pr1 Pr 0.0000 0.0000 0.0000
Pr2 Pr 0.0560 0.1875 0.2925
Sm1 Sm 0.0000 0.0000 0.5000

---

Which of them is most stable? Easy: model B.

---

Model A:
# Pm3Pr2Sm8 | Alexandria | GGA-PBE | relaxed
# Fermi-level density of states   20.4 states/eV/f.u.
# V   34.63 Å³ per atom
# Total magnetic moment   0.00 μB per cell
data_Pm3Pr2Sm8
_symmetry_space_group_name_H-M 'C 1 2/m 1'
_symmetry_Int_Tables_number 12
_cell_length_a 13.273
_cell_length_b 11.870
_cell_length_c 6.229
_cell_angle_alpha 90.00
_cell_angle_beta 113.46
_cell_angle_gamma 90.00
loop_
_symmetry_equiv_pos_as_xyz
'x,y,z'
'-x,-y,-z'
'-x,y,-z'
'x,-y,z'
'x+1/2,y+1/2,z'
'-x+1/2,-y+1/2,-z'
'-x+1/2,y+1/2,-z'
'x+1/2,-y+1/2,z'
loop_
_atom_site_label
_atom_site_type_symbol
_atom_site_fract_x
_atom_site_fract_y
_atom_site_fract_z
Pm1 Pm 0.000 0.000 0.000
Pm2 Pm 0.000 0.243 0.500
Pr1 Pr 0.211 0.500 0.847
Sm1 Sm 0.056 0.500 0.279
Sm2 Sm 0.154 0.000 0.551
Sm3 Sm 0.172 0.256 0.176

---

Model B:
# Pm3Pr2Sm8 | Alexandria | GGA-PBE | relaxed
# Fermi-level density of states   20.4 states/eV/f.u.
# V   36.23 Å³ per atom
# Total magnetic moment   0.00 μB per cell
data_Pm3Pr2Sm8
_symmetry_space_group_name_H-M 'C 1 2/m 1'
_symmetry_Int_Tables_number 12
_cell_length_a 15.015
_cell_length_b 9.200
_cell_length_c 6.905
_cell_angle_alpha 90.00
_cell_angle_beta 99.04
_cell_angle_gamma 90.00
loop_
_symmetry_equiv_pos_as_xyz
'x,y,z'
'-x,-y,-z'
'-x,y,-z'
'x,-y,z'
'x+1/2,y+1/2,z'
'-x+1/2,-y+1/2,-z'
'-x+1/2,y+1/2,-z'
'x+1/2,-y+1/2,z'
loop_
_atom_site_label
_atom_site_type_symbol
_atom_site_fract_x
_atom_site_fract_y
_atom_site_fract_z
Pm1 Pm 0.000 0.000 0.000
Pm2 Pm 0.000 0.170 0.500
Pr1 Pr 0.202 0.000 0.782
Sm1 Sm 0.085 0.500 0.375
Sm2 Sm 0.114 0.320 0.931
Sm3 Sm 0.207 0.000 0.294

---

Which of them is most stable? Easy: model A.

---

Model A:
# Pm3PrSm | Alexandria | GGA-PBE | relaxed
# Fermi-level density of states   9.6 states/eV/f.u.
# V   35.17 Å³ per atom
# Total magnetic moment   0.00 μB per cell
data_Pm3PrSm
_symmetry_space_group_name_H-M 'P m m n'
_symmetry_Int_Tables_number 59
_cell_length_a 5.505
_cell_length_b 7.556
_cell_length_c 8.455
_cell_angle_alpha 90.00
_cell_angle_beta 90.00
_cell_angle_gamma 90.00
loop_
_symmetry_equiv_pos_as_xyz
'x,y,z'
'-x,-y,-z'
'-x+1/2,-y+1/2,z'
'x+1/2,y+1/2,-z'
'x+1/2,-y,-z'
'-x+1/2,y,z'
'-x,y+1/2,-z'
'x,-y+1/2,z'
loop_
_atom_site_label
_atom_site_type_symbol
_atom_site_fract_x
_atom_site_fract_y
_atom_site_fract_z
Pm1 Pm 0.250 0.043 0.248
Pm2 Pm 0.250 0.750 0.554
Pr1 Pr 0.250 0.250 0.757
Sm1 Sm 0.250 0.750 0.942

---

Model B:
# Pm3PrSm | Alexandria | GGA-PBE | relaxed
# Fermi-level density of states   8.8 states/eV/f.u.
# V   34.93 Å³ per atom
# Total magnetic moment   0.00 μB per cell
data_Pm3PrSm
_symmetry_space_group_name_H-M 'C 1 2/m 1'
_symmetry_Int_Tables_number 12
_cell_length_a 22.552
_cell_length_b 3.685
_cell_length_c 8.725
_cell_angle_alpha 90.00
_cell_angle_beta 105.55
_cell_angle_gamma 90.00
loop_
_symmetry_equiv_pos_as_xyz
'x,y,z'
'-x,-y,-z'
'-x,y,-z'
'x,-y,z'
'x+1/2,y+1/2,z'
'-x+1/2,-y+1/2,-z'
'-x+1/2,y+1/2,-z'
'x+1/2,-y+1/2,z'
loop_
_atom_site_label
_atom_site_type_symbol
_atom_site_fract_x
_atom_site_fract_y
_atom_site_fract_z
Pm1 Pm 0.017 0.000 0.214
Pm2 Pm 0.118 0.500 0.018
Pm3 Pm 0.184 0.000 0.384
Pr1 Pr 0.084 0.500 0.585
Sm1 Sm 0.218 0.000 0.818

---

Which of them is most stable? Easy: model B.

---

Model A:
# TbPmPrSm | Alexandria | GGA-PBE | relaxed
# Fermi-level density of states   9.2 states/eV/f.u.
# V   34.16 Å³ per atom
# Total magnetic moment   0.00 μB per cell
data_TbPmPrSm
_symmetry_space_group_name_H-M 'F -4 3 m'
_symmetry_Int_Tables_number 216
_symmetry_space_group_name_Hall 'F -4 2 3'
_cell_length_a 8.176
_cell_length_b 8.176
_cell_length_c 8.176
_cell_angle_alpha 90.00
_cell_angle_beta 90.00
_cell_angle_gamma 90.00
loop_
_atom_site_label
_atom_site_type_symbol
_atom_site_fract_x
_atom_site_fract_y
_atom_site_fract_z
Tb1 Tb 0.000 0.000 0.000
Pm1 Pm 0.250 0.250 0.750
Pr1 Pr 0.250 0.250 0.250
Sm1 Sm 0.000 0.000 0.500

---

Model B:
# TbPmPrSm | Alexandria | GGA-PBE | relaxed
# Fermi-level density of states   6.0 states/eV/f.u.
# V   34.13 Å³ per atom
# Total magnetic moment   0.01 μB per cell
data_TbPmPrSm
_symmetry_space_group_name_H-M 'I -4 m 2'
_symmetry_Int_Tables_number 119
_symmetry_space_group_name_Hall 'I -4 -2'
_cell_length_a 5.148
_cell_length_b 5.148
_cell_length_c 10.303
_cell_angle_alpha 90.00
_cell_angle_beta 90.00
_cell_angle_gamma 90.00
loop_
_atom_site_label
_atom_site_type_symbol
_atom_site_fract_x
_atom_site_fract_y
_atom_site_fract_z
Tb1 Tb 0.000 0.000 0.000
Pm1 Pm 0.000 0.500 0.750
Pr1 Pr 0.000 0.000 0.500
Sm1 Sm 0.000 0.500 0.250

---

Which of them is most stable? Easy: model B.

---

Model A:
# PmPrSmTh | Alexandria | GGA-PBE | relaxed
# Fermi-level density of states   9.4 states/eV/f.u.
# V   34.14 Å³ per atom
# Total magnetic moment   0.01 μB per cell
data_PmPrSmTh
_symmetry_space_group_name_H-M 'F -4 3 m'
_symmetry_Int_Tables_number 216
_symmetry_space_group_name_Hall 'F -4 2 3'
_cell_length_a 8.175
_cell_length_b 8.175
_cell_length_c 8.175
_cell_angle_alpha 90.00
_cell_angle_beta 90.00
_cell_angle_gamma 90.00
loop_
_atom_site_label
_atom_site_type_symbol
_atom_site_fract_x
_atom_site_fract_y
_atom_site_fract_z
Pm1 Pm 0.000 0.000 0.000
Pr1 Pr 0.250 0.250 0.250
Sm1 Sm 0.000 0.000 0.500
Th1 Th 0.250 0.250 0.750

---

Model B:
# PmPrSmTh | Alexandria | GGA-PBE | relaxed
# Fermi-level density of states   5.0 states/eV/f.u.
# V   34.19 Å³ per atom
# Total magnetic moment   0.00 μB per cell
data_PmPrSmTh
_symmetry_space_group_name_H-M 'P 4 m m'
_symmetry_Int_Tables_number 99
_cell_length_a 3.623
_cell_length_b 3.623
_cell_length_c 10.419
_cell_angle_alpha 90.00
_cell_angle_beta 90.00
_cell_angle_gamma 90.00
loop_
_symmetry_equiv_pos_as_xyz
'x,y,z'
'-y,x,z'
'-x,-y,z'
'y,-x,z'
'-x,y,z'
'y,x,z'
'x,-y,z'
'-y,-x,z'
loop_
_atom_site_label
_atom_site_type_symbol
_atom_site_fract_x
_atom_site_fract_y
_atom_site_fract_z
Pm1 Pm 0.000 0.000 0.000
Pr1 Pr 0.500 0.500 0.736
Sm1 Sm 0.000 0.000 0.473
Th1 Th 0.500 0.500 0.237

---

Which of them is most stable? Easy: model B.